<w>
SmTmGePd: optimized geometry, PBE-GGA.

a b c (Å): 4.3092 5.8069 5.8069
angles (deg): 39.76 90.00 90.00
With the nearest neighbours (Å) after each atom.
Element x y z (fractional)
Sm1 0.0000 0.0000 0.0000  4 Ge 3.00, 3 Pd 3.03-3.13
Tm1 0.5000 0.7227 0.7227  4 Pd 2.98, 3 Ge 3.07-3.11
Ge1 0.5000 0.4381 0.4381  2 Pd 2.78, 4 Sm 3.00, 3 Tm 3.07-3.11
Pd1 0.0000 0.2774 0.2774  2 Ge 2.78, 4 Tm 2.98, 1 Sm 3.03

Computed properties:
The total magnetization is 0.00 μB/cell.

<x>
SmTmGePd: optimized geometry, PBE-GGA.

a b c (Å): 5.0349 5.0349 5.0349
angles (deg): 60.00 60.00 60.00
With the nearest neighbours (Å) after each atom.
Element x y z (fractional)
Sm1 0.0000 0.0000 0.0000  4 Ge 3.08, 4 Pd 3.08
Tm1 0.5000 0.5000 0.5000  4 Ge 3.08, 4 Pd 3.08
Ge1 0.7500 0.7500 0.7500  4 Tm 3.08, 4 Sm 3.08
Pd1 0.2500 0.2500 0.2500  4 Tm 3.08, 4 Sm 3.08

Computed properties:
The total magnetization is 0.00 μB/cell.

The computed energies, referenced to the most stable structure and given in meV/atom, are <w> 0; <x> 87.

<w>
SmYGePd: optimized geometry, PBE-GGA.

a b c (Å): 5.0738 5.0738 5.0738
angles (deg): 60.00 60.00 60.00
With the nearest neighbours (Å) after each atom.
Element x y z (fractional)
Sm1 0.0000 0.0000 0.0000  4 Ge 3.11, 4 Pd 3.11
Y1 0.5000 0.5000 0.5000  4 Ge 3.11, 4 Pd 3.11
Ge1 0.2500 0.2500 0.2500  4 Sm 3.11, 4 Y 3.11
Pd1 0.7500 0.7500 0.7500  4 Sm 3.11, 4 Y 3.11

Computed properties:
The total magnetization is 0.00 μB/cell.

<x>
SmYGePd: optimized geometry, PBE-GGA.

a b c (Å): 4.3420 5.8357 5.8357
angles (deg): 40.01 90.00 90.00
With the nearest neighbours (Å) after each atom.
Element x y z (fractional)
Sm1 0.0000 0.0000 0.0000  4 Ge 3.02, 3 Pd 3.08-3.13
Y1 0.5000 0.2769 0.2769  4 Pd 3.02, 3 Ge 3.10-3.11
Ge1 0.5000 0.5598 0.5598  2 Pd 2.79, 4 Sm 3.02, 3 Y 3.10-3.11
Pd1 0.0000 0.7193 0.7193  2 Ge 2.79, 4 Y 3.02, 1 Sm 3.08

Computed properties:
The total magnetization is 0.00 μB/cell.

The computed energies, referenced to the most stable structure and given in meV/atom, are <w> 88; <x> 0.

<w>
Sn2Ge2Pd: optimized geometry, PBE-GGA.

a b c (Å): 6.5740 6.5740 5.0767
angles (deg): 90.00 90.00 90.00
With the nearest neighbours (Å) after each atom.
Element x y z (fractional)
Sn1 0.1744 0.3256 0.0000  6 Ge 3.07-3.28, 5 Sn 3.24-3.43
Sn2 0.3256 0.8256 0.0000  6 Ge 3.07-3.28, 5 Sn 3.24-3.43
Sn3 0.6744 0.1744 0.0000  6 Ge 3.07-3.28, 5 Sn 3.24-3.43
Sn4 0.8256 0.6744 0.0000  6 Ge 3.07-3.28, 5 Sn 3.24-3.43
Ge1 0.1394 0.6394 0.5000  2 Pd 2.54, 1 Ge 2.59
Ge2 0.3606 0.1394 0.5000  2 Pd 2.54, 1 Ge 2.59
Ge3 0.6394 0.8606 0.5000  2 Pd 2.54, 1 Ge 2.59
Ge4 0.8606 0.3606 0.5000  2 Pd 2.54, 1 Ge 2.59
Pd1 0.0000 0.0000 0.5000  4 Ge 2.54
Pd2 0.5000 0.5000 0.5000  4 Ge 2.54

Computed properties:
The total magnetization is 0.00 μB/cell.

<x>
Sn2Ge2Pd: optimized geometry, PBE-GGA.

a b c (Å): 7.1373 7.1373 4.5174
angles (deg): 90.00 90.00 90.00
With the nearest neighbours (Å) after each atom.
Element x y z (fractional)
Sn1 0.1612 0.3388 0.0000  2 Pd 2.68
Sn2 0.3388 0.8388 0.0000  2 Pd 2.68
Sn3 0.6612 0.1612 0.0000  2 Pd 2.68
Sn4 0.8388 0.6612 0.0000  2 Pd 2.68
Ge1 0.1366 0.6366 0.5000  1 Ge 2.76, 2 Sn 3.04
Ge2 0.3634 0.1366 0.5000  1 Ge 2.76, 2 Sn 3.04
Ge3 0.6366 0.8634 0.5000  1 Ge 2.76, 2 Sn 3.04
Ge4 0.8634 0.3634 0.5000  1 Ge 2.76, 2 Sn 3.04
Pd1 0.0000 0.0000 0.0000  4 Sn 2.68
Pd2 0.5000 0.5000 0.0000  4 Sn 2.68

Computed properties:
The total magnetization is 0.00 μB/cell.

The computed energies, referenced to the most stable structure and given in meV/atom, are <w> 0; <x> 135.

<w>
SnGe2Pd7: optimized geometry, PBE-GGA.

a b c (Å): 10.4723 10.4723 10.4723
angles (deg): 157.61 157.61 31.87
With the nearest neighbours (Å) after each atom.
Element x y z (fractional)
Sn1 0.0000 0.0000 0.0000  12 Pd 2.87
Ge1 0.3263 0.3263 0.0000  8 Pd 2.51-2.55
Ge2 0.6737 0.6737 0.0000  8 Pd 2.51-2.55
Pd1 0.1006 0.6006 0.5000  2 Ge 2.51
Pd2 0.2500 0.7500 0.5000  4 Ge 2.55
Pd3 0.3994 0.8994 0.5000  2 Ge 2.51
Pd4 0.5000 0.5000 0.0000  8 Pd 2.87, 4 Sn 2.87
Pd5 0.6006 0.1006 0.5000  2 Ge 2.51
Pd6 0.7500 0.2500 0.5000  4 Ge 2.55
Pd7 0.8994 0.3994 0.5000  2 Ge 2.51

Computed properties:
The total magnetization is 0.00 μB/cell.

<x>
SnGe2Pd7: optimized geometry, PBE-GGA.

a b c (Å): 7.0514 7.0514 4.4266
angles (deg): 90.00 90.00 116.78
With the nearest neighbours (Å) after each atom.
Element x y z (fractional)
Sn1 0.0000 0.0000 0.0000  10 Pd 2.67-2.98
Ge1 0.3018 0.6982 0.5000  7 Pd 2.38-2.59
Ge2 0.6982 0.3018 0.5000  7 Pd 2.38-2.59
Pd1 0.0676 0.3068 0.5000  2 Ge 2.50-2.59, 2 Pd 2.72-2.77
Pd2 0.2225 0.7775 0.0000  2 Ge 2.41, 1 Sn 2.67
Pd3 0.3068 0.0676 0.5000  2 Ge 2.50-2.59, 2 Pd 2.72-2.77
Pd4 0.5000 0.5000 0.5000  2 Ge 2.38
Pd5 0.6932 0.9324 0.5000  2 Ge 2.50-2.59, 2 Pd 2.72-2.77
Pd6 0.7775 0.2225 0.0000  2 Ge 2.41, 1 Sn 2.67
Pd7 0.9324 0.6932 0.5000  2 Ge 2.50-2.59, 2 Pd 2.72-2.77

Computed properties:
The total magnetization is 0.00 μB/cell.

The computed energies, referenced to the most stable structure and given in meV/atom, are <w> 0; <x> 335.

<w>
Sn2GePd3: optimized geometry, PBE-GGA.

a b c (Å): 6.6374 6.6374 7.1029
angles (deg): 105.31 105.31 48.95
With the nearest neighbours (Å) after each atom.
Element x y z (fractional)
Sn1 0.1801 0.1852 0.0935  6 Pd 2.82-2.93
Sn2 0.1852 0.1801 0.5935  6 Pd 2.82-2.93
Sn3 0.8148 0.8199 0.4065  6 Pd 2.82-2.93
Sn4 0.8199 0.8148 0.9065  6 Pd 2.82-2.93
Ge1 0.2970 0.7030 0.2500  5 Pd 2.56
Ge2 0.7030 0.2970 0.7500  5 Pd 2.56
Pd1 0.1688 0.8312 0.7500  1 Ge 2.56
Pd2 0.3717 0.3746 0.4380  2 Ge 2.56, 4 Sn 2.82-2.83
Pd3 0.3746 0.3717 0.9380  2 Ge 2.56, 4 Sn 2.82-2.83
Pd4 0.6254 0.6283 0.0620  2 Ge 2.56, 4 Sn 2.82-2.83
Pd5 0.6283 0.6254 0.5620  2 Ge 2.56, 4 Sn 2.82-2.83
Pd6 0.8312 0.1688 0.2500  1 Ge 2.56

Computed properties:
The total magnetization is 0.00 μB/cell.

<x>
Sn2GePd3: optimized geometry, PBE-GGA.

a b c (Å): 6.4602 3.6366 9.8632
angles (deg): 90.00 102.13 90.00
With the nearest neighbours (Å) after each atom.
Element x y z (fractional)
Sn1 0.0132 0.2500 0.2972  6 Pd 2.69-2.77
Sn2 0.2317 0.2500 0.9651  6 Pd 2.79-3.00
Sn3 0.7683 0.7500 0.0349  6 Pd 2.79-3.00
Sn4 0.9868 0.7500 0.7028  6 Pd 2.69-2.77
Ge1 0.4591 0.2500 0.6169  6 Pd 2.54-2.66
Ge2 0.5409 0.7500 0.3831  6 Pd 2.54-2.66
Pd1 0.2035 0.7500 0.4965  3 Ge 2.57-2.65, 3 Sn 2.70-2.77
Pd2 0.2259 0.7500 0.1794  1 Ge 2.54, 4 Sn 2.69-2.79
Pd3 0.4150 0.7500 0.8054  2 Ge 2.66, 4 Sn 2.74-2.86, 2 Pd 2.93
Pd4 0.5850 0.2500 0.1946  2 Ge 2.66, 4 Sn 2.74-2.86, 2 Pd 2.93
Pd5 0.7741 0.2500 0.8206  1 Ge 2.54, 4 Sn 2.69-2.79
Pd6 0.7965 0.2500 0.5035  3 Ge 2.57-2.65, 3 Sn 2.70-2.77

Computed properties:
The total magnetization is 0.00 μB/cell.

The computed energies, referenced to the most stable structure and given in meV/atom, are <w> 78; <x> 0.